Record 1
A relaxed Rb3SmPu2Te6 crystal. Source: the Alexandria database, functional PBE.

Output
DFT total energy (eV per cell): -69.49
Space group: C2/m (12)

a = 7.9747 Å, b = 7.9747 Å, c = 8.9353 Å
α = 98.55°, β = 98.55°, γ = 120.00°
With the nearest neighbours (Å) after each atom.
Sites, in units of the cell vectors:
Rb1 0.8340 0.1660 0.5000  6 Te 3.68-3.69
Rb2 0.5000 0.5000 0.5000  6 Te 3.68-3.69
Rb3 0.1660 0.8340 0.5000  6 Te 3.68-3.69
Te1 0.7317 0.7317 0.2005  2 Pu 3.16, 1 Sm 3.17
Te2 0.0671 0.4020 0.2009  2 Pu 3.16, 1 Sm 3.17
Te3 0.5980 0.9329 0.7991  2 Pu 3.16, 1 Sm 3.17
Te4 0.9329 0.5980 0.7991  2 Pu 3.16, 1 Sm 3.17
Te5 0.2683 0.2683 0.7995  2 Pu 3.16, 1 Sm 3.17
Te6 0.4020 0.0671 0.2009  2 Pu 3.16, 1 Sm 3.17
Sm1 0.0000 0.0000 0.0000  6 Te 3.17
Pu1 0.3332 0.6668 0.0000  6 Te 3.16
Pu2 0.6668 0.3332 0.0000  6 Te 3.16

=====

Record 2
A relaxed GaPdPt2Au crystal. Source: the Alexandria database, functional PBE.

Output
DFT formation energy (eV/atom): 1.095
Space group: P4/mmm (123)

a = 4.9958 Å, b = 4.9742 Å, c = 4.9958 Å
α = 90.00°, β = 90.00°, γ = 90.00°
With the nearest neighbours (Å) after each atom.
Sites, in units of the cell vectors:
Pt1 0.0000 0.0000 0.5000  2 Au 2.50
Pt2 0.5000 0.0000 0.0000  2 Au 2.50
Pd1 0.0000 0.5000 0.0000  2 Au 2.49
Ga1 0.5000 0.5000 0.5000  8 Pt 3.52, 4 Pd 3.53
Au1 0.0000 0.0000 0.0000  2 Pd 2.49, 4 Pt 2.50

=====

Record 3
A relaxed Ac4Al5Pd2 crystal. Source: the Alexandria database, functional PBE.

Output
DFT formation energy (eV/atom): -0.410
Space group: P2/m (10)

a = 4.1857 Å, b = 7.4266 Å, c = 9.6688 Å
α = 93.26°, β = 90.00°, γ = 90.00°
With the nearest neighbours (Å) after each atom.
Sites, in units of the cell vectors:
Ac1 0.5000 0.8234 0.1256  2 Pd 3.10, 4 Al 3.36-3.37
Ac2 0.5000 0.1766 0.8744  2 Pd 3.10, 4 Al 3.36-3.37
Ac3 0.5000 0.7483 0.5623  4 Pd 3.25, 6 Al 3.38-3.56
Ac4 0.5000 0.2517 0.4377  4 Pd 3.25, 6 Al 3.38-3.56
Al1 0.0000 0.2082 0.1629  2 Al 2.75-2.81, 1 Pd 2.85
Al2 0.0000 0.5000 0.0000  4 Al 2.75-2.86
Al3 0.0000 0.5553 0.2947  1 Pd 2.80, 2 Al 2.81-2.86
Al4 0.0000 0.4447 0.7053  1 Pd 2.80, 2 Al 2.81-2.86
Al5 0.0000 0.7918 0.8371  2 Al 2.75-2.81, 1 Pd 2.85
Pd1 0.0000 0.0714 0.6469  2 Al 2.80-2.85, 1 Pd 2.98, 2 Ac 3.10
Pd2 0.0000 0.9286 0.3531  2 Al 2.80-2.85, 1 Pd 2.98, 2 Ac 3.10

=====

Record 4
A relaxed Hg2SbAs crystal. Source: the Alexandria database, functional PBE.

Output
Space group: C2/m (12)
ΔE to the lowest computed polymorph (eV/atom): 0.059

a = 6.5197 Å, b = 6.5197 Å, c = 4.2538 Å
α = 108.70°, β = 108.70°, γ = 37.63°
With the nearest neighbours (Å) after each atom.
Sites, in units of the cell vectors:
Hg1 0.4912 0.4912 0.4912  1 As 2.80, 4 Hg 3.00, 1 Sb 3.01
Hg2 0.0088 0.0088 0.0088  1 As 2.80, 4 Hg 3.00, 1 Sb 3.01
As1 0.2500 0.2500 0.2500  2 Hg 2.80, 4 Sb 2.99
Sb1 0.7500 0.7500 0.7500  4 As 2.99, 2 Hg 3.01

=====

Record 5
A relaxed BaTaCu2 crystal. Source: the Alexandria database, functional PBE.

Output
DFT formation energy (eV/atom): 0.689
Space group: Cmmm (65)
ΔE to the lowest computed polymorph (eV/atom): 0.353

a = 5.1516 Å, b = 7.8875 Å, c = 3.0531 Å
α = 67.15°, β = 90.06°, γ = 130.58°
With the nearest neighbours (Å) after each atom.
Sites, in units of the cell vectors:
Cu1 0.0000 0.0000 0.0000  4 Ta 2.99-3.00, 4 Ba 2.99-3.00, 2 Cu 3.05
Cu2 0.0000 0.5000 0.5000  4 Ba 2.99-3.00, 4 Ta 2.99-3.00, 2 Cu 3.05
Ba1 0.5000 0.0000 0.5000  8 Cu 2.99-3.00, 2 Ba 3.05
Ta1 0.5000 0.5000 0.0000  8 Cu 2.99-3.00, 2 Ta 3.05

=====

Record 6
A relaxed BeIBrN2 crystal. Source: the Alexandria database, functional PBE.

Output
Space group: P4/mmm (123)
ΔE to the lowest computed polymorph (eV/atom): 0.582

a = 3.8782 Å, b = 3.8782 Å, c = 7.5359 Å
α = 90.00°, β = 90.00°, γ = 90.00°
With the nearest neighbours (Å) after each atom.
Sites, in units of the cell vectors:
Be1 0.5000 0.5000 0.5000  4 I 2.74
I1 0.0000 0.0000 0.5000  4 Be 2.74
N1 0.5000 0.0000 0.0000  2 Br 1.94
N2 0.0000 0.5000 0.0000  2 Br 1.94
Br1 0.0000 0.0000 0.0000  4 N 1.94

=====

Record 7
A relaxed CsRb4Br3F12 crystal. Source: the Alexandria database, functional PBE.

Output
DFT total energy (eV per cell): -67.09
Space group: Im-3 (204)

a = 8.4324 Å, b = 8.4324 Å, c = 8.4324 Å
α = 109.47°, β = 109.47°, γ = 109.47°
With the nearest neighbours (Å) after each atom.
Sites, in units of the cell vectors:
Br1 0.5000 0.0000 0.5000  4 F 2.09
Br2 0.0000 0.5000 0.5000  4 F 2.09
Br3 0.5000 0.5000 0.0000  4 F 2.09
F1 0.4642 0.3312 0.1330  1 Br 2.09
F2 0.1330 0.8018 0.6688  1 Br 2.09
F3 0.8670 0.1982 0.3312  1 Br 2.09
F4 0.8670 0.5358 0.6688  1 Br 2.09
F5 0.5358 0.6688 0.8670  1 Br 2.09
F6 0.1330 0.4642 0.3312  1 Br 2.09
F7 0.8018 0.6688 0.1330  1 Br 2.09
F8 0.3312 0.8670 0.1982  1 Br 2.09
F9 0.6688 0.8670 0.5358  1 Br 2.09
F10 0.3312 0.1330 0.4642  1 Br 2.09
F11 0.1982 0.3312 0.8670  1 Br 2.09
F12 0.6688 0.1330 0.8018  1 Br 2.09
Rb1 0.0000 0.5000 0.0000  6 F 2.80
Rb2 0.5000 0.5000 0.5000  6 F 2.80
Rb3 0.0000 0.0000 0.5000  6 F 2.80
Rb4 0.5000 0.0000 0.0000  6 F 2.80
Cs1 0.0000 0.0000 0.0000  12 F 3.48